1.
A plane-wave DFT calculation with PBE-GGA was carried out for crystalline Os2WBr at its relaxed geometry.

## Properties
E above lowest polymorph = 0.000 eV/atom
formation energy from raw total energies = 0.7041 eV per atom
V = 16.6 Å³ per atom
E = -8.567 eV/atom

Cell: 2.8668 2.8668 27.9956 Å, 90.00 90.00 120.00°
Space group R-3m (No. 166, hexagonal axes)
Symmetry-distinct sites (fractional):
Os (0.0000, 0.0000, 0.2420) [6 per cell]
W (0.0000, 0.0000, 0.5000) [3 per cell]
Br (0.0000, 0.0000, 0.0000) [3 per cell]

---

2.
A plane-wave DFT calculation with PBE-GGA was carried out for crystalline OsW2Br at its relaxed geometry.

## Properties
E above lowest polymorph = 0.091 eV/atom
formation energy from raw total energies = 0.7155 eV per atom
V = 16.8 Å³ per atom
E = -8.987 eV/atom

Cell: 2.955 2.955 7.713 Å, 90.00 90.00 90.00°
Space group P4mm (No. 99)
Symmetry-distinct sites (fractional):
Os (0.000, 0.000, 0.000) [1 per cell]
W (0.000, 0.000, 0.468) [1 per cell]
W (0.500, 0.500, 0.207) [1 per cell]
Br (0.500, 0.500, 0.702) [1 per cell]